Record 1
# Ce2P3IrRh4 (PBE, optimized geometry)
data_Ce2P3IrRh4
_chemical_formula_sum 'Ce2 P3 Ir1 Rh4'
_cell_length_a 3.928
_cell_length_b 3.928
_cell_length_c 10.905
_cell_angle_alpha 90.00
_cell_angle_beta 90.00
_cell_angle_gamma 90.00
_symmetry_space_group_name_H-M 'P -4 m 2'
_symmetry_Int_Tables_number 115
loop_
_symmetry_equiv_pos_as_xyz
'x,y,z'
'y,-x,-z'
'-x,-y,z'
'-y,x,-z'
'-x,y,z'
'-y,-x,-z'
'x,-y,z'
'y,x,-z'
loop_
_atom_site_label
_atom_site_fract_x
_atom_site_fract_y
_atom_site_fract_z
Ce1 0.000 0.500 0.236
P1 0.000 0.000 0.000
P2 0.000 0.500 0.623
Ir1 0.500 0.500 0.000
Rh1 0.000 0.000 0.500
Rh2 0.000 0.500 0.829
Rh3 0.500 0.500 0.500
# **Energy of formation from the pure elements**: -0.9088 eV per atom



Record 2
# CeP2IrRh2 (PBE, optimized geometry)
data_CeP2IrRh2
_chemical_formula_sum 'Ce1 P2 Ir1 Rh2'
_cell_length_a 4.518
_cell_length_b 4.518
_cell_length_c 5.456
_cell_angle_alpha 90.00
_cell_angle_beta 90.00
_cell_angle_gamma 90.00
_symmetry_space_group_name_H-M 'P 4/m m m'
_symmetry_Int_Tables_number 123
_symmetry_space_group_name_Hall '-P 4 2'
loop_
_atom_site_label
_atom_site_fract_x
_atom_site_fract_y
_atom_site_fract_z
Ce1 0.000 0.000 0.000
P1 0.000 0.500 0.500
Ir1 0.000 0.000 0.500
Rh1 0.500 0.500 0.248
# **Energy of formation from the pure elements**: -0.2561 eV per atom



Record 3
# CeP2IrRu2 (PBE, optimized geometry)
data_CeP2IrRu2
_chemical_formula_sum 'Ce1 P2 Ir1 Ru2'
_cell_length_a 4.556
_cell_length_b 4.556
_cell_length_c 5.274
_cell_angle_alpha 90.00
_cell_angle_beta 90.00
_cell_angle_gamma 90.00
_symmetry_space_group_name_H-M 'P 4/m m m'
_symmetry_Int_Tables_number 123
_symmetry_space_group_name_Hall '-P 4 2'
loop_
_atom_site_label
_atom_site_fract_x
_atom_site_fract_y
_atom_site_fract_z
Ce1 0.000 0.000 0.000
P1 0.000 0.500 0.500
Ir1 0.000 0.000 0.500
Ru1 0.500 0.500 0.243
# **Energy of formation from the pure elements**: 0.0014 eV per atom



Computed magnetization, in the same sequence as the records: 0.000, 0.622, 0.093 μB per formula unit.
Computed raw total energy, in the same sequence as the records: -7.55, -6.98, -7.36 eV/atom.